No. 1
A plane-wave DFT calculation with PBE-GGA was carried out for an optimized crystal structure of LiMnAlGe.

## Properties
The total DFT energy (no corrections) is -19.9 eV for the cell shown. The value obtained for the energy relative to the elements is -10 kJ per mole of atoms.

a b c (Å): 4.2726 4.2726 4.2726
angles (deg): 60.00 60.00 60.00
Element x y z (fractional)
Mn 0.7500 0.7500 0.7500
Al 0.5000 0.5000 0.5000
Li 0.2500 0.2500 0.2500
Ge 0.0000 0.0000 0.0000

---

No. 2
A plane-wave DFT calculation with PBE-GGA was carried out for an optimized crystal structure of LiAl2GeN.

## Properties
The total DFT energy (no corrections) is -24.0 eV for the cell shown.

a b c (Å): 3.9988 3.9988 3.9656
angles (deg): 90.00 90.00 90.00
Element x y z (fractional)
Ge 0.5000 0.5000 0.5000
N 0.0000 0.0000 0.0000
Li 0.0000 0.0000 0.5000
Al 0.0000 0.5000 0.0000
Al 0.5000 0.0000 0.0000

---

No. 3
A plane-wave DFT calculation with PBE-GGA was carried out for an optimized crystal structure of NaLiAlGe.

## Properties
The total DFT energy (no corrections) is -11.6 eV for the cell shown. The value obtained for the energy relative to the elements is -1 kJ per mole of atoms.

a b c (Å): 4.7617 4.7617 4.7617
angles (deg): 60.00 60.00 60.00
Element x y z (fractional)
Al 0.0000 0.0000 0.0000
Ge 0.7500 0.7500 0.7500
Li 0.2500 0.2500 0.2500
Na 0.5000 0.5000 0.5000

---

No. 4
A plane-wave DFT calculation with PBE-GGA was carried out for an optimized crystal structure of NaLiAl2Ge2.

## Properties
The total DFT energy (no corrections) is -20.8 eV for the cell shown. The value obtained for the energy relative to the elements is -14 kJ per mole of atoms.

a b c (Å): 4.2947 4.2947 7.5020
angles (deg): 90.00 90.00 120.00
Element x y z (fractional)
Na 0.0000 0.0000 0.0000
Al 0.6667 0.3333 0.3490
Al 0.3333 0.6667 0.6510
Ge 0.6667 0.3333 0.7333
Ge 0.3333 0.6667 0.2667
Li 0.0000 0.0000 0.5000

---

No. 5
A plane-wave DFT calculation with PBE-GGA was carried out for an optimized crystal structure of Na2LiAl3Ge4.

## Properties
The total DFT energy (no corrections) is -35.5 eV for the cell shown. The value obtained for the energy relative to the elements is -12 kJ per mole of atoms.

a b c (Å): 4.3429 4.3429 10.8847
angles (deg): 90.00 90.00 90.00
Element x y z (fractional)
Ge 0.0000 0.5000 0.3660
Ge 0.5000 0.0000 0.6340
Ge 0.5000 0.5000 0.0000
Ge 0.0000 0.0000 0.0000
Na 0.0000 0.5000 0.7377
Na 0.5000 0.0000 0.2623
Al 0.0000 0.0000 0.5000
Al 0.0000 0.5000 0.1379
Al 0.5000 0.0000 0.8621
Li 0.5000 0.5000 0.5000

---

No. 6
A plane-wave DFT calculation with PBE-GGA was carried out for an optimized crystal structure of Li3Nd2AlGe4.

## Properties
The total DFT energy (no corrections) is -43.3 eV for the cell shown. The value obtained for the energy relative to the elements is -56 kJ per mole of atoms.

a b c (Å): 4.2039 4.2039 10.7093
angles (deg): 90.00 90.00 90.00
Element x y z (fractional)
Li 0.0000 0.5000 0.1276
Li 0.5000 0.0000 0.8724
Li 0.0000 0.0000 0.5000
Al 0.5000 0.5000 0.5000
Ge 0.0000 0.5000 0.3548
Ge 0.5000 0.5000 0.0000
Ge 0.5000 0.0000 0.6452
Ge 0.0000 0.0000 0.0000
Nd 0.5000 0.0000 0.2383
Nd 0.0000 0.5000 0.7617

---

No. 7
A plane-wave DFT calculation with PBE-GGA was carried out for an optimized crystal structure of LiAlNiGe.

## Properties
The total DFT energy (no corrections) is -17.4 eV for the cell shown. The value obtained for the energy relative to the elements is -32 kJ per mole of atoms.

a b c (Å): 4.1936 4.1936 4.1936
angles (deg): 60.00 60.00 60.00
Element x y z (fractional)
Li 0.2500 0.2500 0.2500
Ni 0.7500 0.7500 0.7500
Ge 0.0000 0.0000 0.0000
Al 0.5000 0.5000 0.5000

---

No. 8
A plane-wave DFT calculation with PBE-GGA was carried out for an optimized crystal structure of LiAl2GeO6.

## Properties
The total DFT energy (no corrections) is -131.7 eV for the cell shown.

a b c (Å): 5.6429 6.9928 6.9928
angles (deg): 96.98 73.36 73.36
Element x y z (fractional)
O 0.9348 0.3470 0.4291
O 0.5540 0.1601 0.6484
O 0.0652 0.6530 0.5709
O 0.6845 0.7891 0.9442
O 0.3155 0.2109 0.0558
O 0.4460 0.8399 0.3516
O 0.4348 0.4291 0.3470
O 0.5652 0.5709 0.6530
O 0.1845 0.9442 0.7891
O 0.8155 0.0558 0.2109
O 0.0540 0.6484 0.1601
O 0.9460 0.3516 0.8399
Al 0.3343 0.7388 0.5649
Al 0.1657 0.4351 0.2612
Al 0.8343 0.5649 0.7388
Al 0.6657 0.2612 0.4351
Li 0.7500 0.1053 0.8947
Li 0.2500 0.8947 0.1053
Ge 0.7500 0.8223 0.1777
Ge 0.2500 0.1777 0.8223

---

No. 9
A plane-wave DFT calculation with PBE-GGA was carried out for an optimized crystal structure of Li2AlGeO4.

## Properties
The total DFT energy (no corrections) is -48.4 eV for the cell shown.

a b c (Å): 5.4400 5.4400 5.4400
angles (deg): 72.96 130.28 130.28
Element x y z (fractional)
Ge 0.0000 0.5000 0.5000
O 0.5160 0.3660 0.4117
O 0.9543 0.5883 0.1044
O 0.4840 0.8956 0.8499
O 0.0457 0.1501 0.6340
Li 0.0000 0.0000 0.0000
Li 0.5000 0.7500 0.2500
Al 0.5000 0.2500 0.7500

---

No. 10
A plane-wave DFT calculation with PBE-GGA was carried out for an optimized crystal structure of Li2Al2GeO6.

## Properties
The total DFT energy (no corrections) is -72.1 eV for the cell shown.

a b c (Å): 4.9292 4.9292 5.1749
angles (deg): 98.98 98.98 119.92
Element x y z (fractional)
Ge 0.0000 0.0000 0.5000
O 0.6001 0.9402 0.2925
O 0.3999 0.0598 0.7075
O 0.0598 0.3999 0.7075
O 0.9402 0.6001 0.2925
O 0.7404 0.7404 0.7027
O 0.2596 0.2596 0.2973
Li 0.1712 0.8288 0.0000
Li 0.8288 0.1712 0.0000
Al 0.3345 0.6655 0.5000
Al 0.6655 0.3345 0.5000

---

No. 11
A plane-wave DFT calculation with PBE-GGA was carried out for an optimized crystal structure of LiAlGeOs.

## Properties
The total DFT energy (no corrections) is -22.3 eV for the cell shown. The value obtained for the energy relative to the elements is -20 kJ per mole of atoms.

a b c (Å): 4.2954 4.2954 4.2954
angles (deg): 60.00 60.00 60.00
Element x y z (fractional)
Ge 0.7500 0.7500 0.7500
Li 0.0000 0.0000 0.0000
Al 0.2500 0.2500 0.2500
Os 0.5000 0.5000 0.5000

---

No. 12
A plane-wave DFT calculation with PBE-GGA was carried out for an optimized crystal structure of Li2AlGe2Pd5.

## Properties
The total DFT energy (no corrections) is -96.3 eV for the cell shown. The value obtained for the energy relative to the elements is -52 kJ per mole of atoms.

a b c (Å): 3.6362 9.3801 9.3801
angles (deg): 90.00 90.00 90.00
Element x y z (fractional)
Al 0.0000 0.5000 0.5000
Al 0.0000 0.0000 0.0000
Pd 0.5000 0.3040 0.5753
Pd 0.5000 0.0753 0.8040
Pd 0.5000 0.6960 0.4247
Pd 0.5000 0.0000 0.5000
Pd 0.5000 0.5000 0.0000
Pd 0.5000 0.1960 0.0753
Pd 0.5000 0.4247 0.3040
Pd 0.5000 0.5753 0.6960
Pd 0.5000 0.8040 0.9247
Pd 0.5000 0.9247 0.1960
Ge 0.0000 0.3682 0.1318
Ge 0.0000 0.6318 0.8682
Ge 0.0000 0.8682 0.3682
Ge 0.0000 0.1318 0.6318
Li 0.0000 0.3316 0.8316
Li 0.0000 0.6684 0.1684
Li 0.0000 0.1684 0.3316
Li 0.0000 0.8316 0.6684

---

No. 13
A plane-wave DFT calculation with PBE-GGA was carried out for an optimized crystal structure of Li3Pm2AlGe4.

## Properties
The total DFT energy (no corrections) is -43.2 eV for the cell shown. The value obtained for the energy relative to the elements is -56 kJ per mole of atoms.

a b c (Å): 4.1834 4.1834 10.6798
angles (deg): 90.00 90.00 90.00
Element x y z (fractional)
Pm 0.0000 0.5000 0.7625
Pm 0.5000 0.0000 0.2375
Ge 0.0000 0.0000 0.0000
Ge 0.5000 0.0000 0.6461
Ge 0.5000 0.5000 0.0000
Ge 0.0000 0.5000 0.3539
Li 0.0000 0.5000 0.1277
Li 0.0000 0.0000 0.5000
Li 0.5000 0.0000 0.8723
Al 0.5000 0.5000 0.5000

---

No. 14
A plane-wave DFT calculation with PBE-GGA was carried out for an optimized crystal structure of LiPmAlGe2.

## Properties
The total DFT energy (no corrections) is -22.4 eV for the cell shown. The value obtained for the energy relative to the elements is -52 kJ per mole of atoms.

a b c (Å): 4.1560 4.1560 6.3661
angles (deg): 109.05 109.05 90.00
Element x y z (fractional)
Ge 0.6131 0.6131 0.2262
Ge 0.3869 0.3869 0.7738
Pm 0.0000 0.0000 0.0000
Al 0.7500 0.2500 0.5000
Li 0.2500 0.7500 0.5000

---

No. 15
A plane-wave DFT calculation with PBE-GGA was carried out for an optimized crystal structure of LiPrAlGe2.

## Properties
The total DFT energy (no corrections) is -22.4 eV for the cell shown. The value obtained for the energy relative to the elements is -53 kJ per mole of atoms.

a b c (Å): 4.2007 4.2007 6.3843
angles (deg): 109.21 109.21 90.00
Element x y z (fractional)
Li 0.2500 0.7500 0.5000
Pr 0.0000 0.0000 0.0000
Ge 0.3859 0.3859 0.7718
Ge 0.6141 0.6141 0.2282
Al 0.7500 0.2500 0.5000

---

No. 16
A plane-wave DFT calculation with PBE-GGA was carried out for an optimized crystal structure of Li2AlGePt.

## Properties
The total DFT energy (no corrections) is -18.5 eV for the cell shown. The value obtained for the energy relative to the elements is -4 kJ per mole of atoms.

a b c (Å): 4.6213 4.7538 4.6213
angles (deg): 90.00 90.00 90.00
Element x y z (fractional)
Ge 0.5000 0.5000 0.5000
Al 0.0000 0.5000 0.0000
Li 0.0000 0.0000 0.5000
Li 0.5000 0.0000 0.0000
Pt 0.0000 0.0000 0.0000

---

No. 17
A plane-wave DFT calculation with PBE-GGA was carried out for an optimized crystal structure of LiAlGeRh.

## Properties
The total DFT energy (no corrections) is -19.8 eV for the cell shown. The value obtained for the energy relative to the elements is -54 kJ per mole of atoms.

a b c (Å): 4.2887 4.2887 4.2887
angles (deg): 60.00 60.00 60.00
Element x y z (fractional)
Rh 0.5000 0.5000 0.5000
Al 0.2500 0.2500 0.2500
Li 0.0000 0.0000 0.0000
Ge 0.7500 0.7500 0.7500

---

No. 18
A plane-wave DFT calculation with PBE-GGA was carried out for an optimized crystal structure of LiAlGeRh2.

## Properties
The total DFT energy (no corrections) is -24.2 eV for the cell shown. The value obtained for the energy relative to the elements is 16 kJ per mole of atoms.

a b c (Å): 4.5309 4.5309 4.2607
angles (deg): 90.00 90.00 90.00
Element x y z (fractional)
Al 0.5000 0.5000 0.5000
Ge 0.0000 0.0000 0.0000
Rh 0.0000 0.5000 0.0000
Rh 0.5000 0.0000 0.0000
Li 0.0000 0.0000 0.5000

---

No. 19
A plane-wave DFT calculation with PBE-GGA was carried out for an optimized crystal structure of LiAl2GeS6.

## Properties
The total DFT energy (no corrections) is -91.4 eV for the cell shown.

a b c (Å): 6.8199 8.7562 8.7562
angles (deg): 90.93 72.70 72.70
Element x y z (fractional)
Al 0.6432 0.2350 0.4048
Al 0.1432 0.4048 0.2350
Al 0.3568 0.7650 0.5952
Al 0.8568 0.5952 0.7650
Li 0.7500 0.1143 0.8857
Li 0.2500 0.8857 0.1143
S 0.0768 0.6426 0.1297
S 0.4232 0.8703 0.3574
S 0.1580 0.9499 0.8132
S 0.8420 0.0501 0.1868
S 0.4082 0.4368 0.3318
S 0.5918 0.5632 0.6682
S 0.9232 0.3574 0.8703
S 0.5768 0.1297 0.6426
S 0.6580 0.8132 0.9499
S 0.0918 0.6682 0.5632
S 0.9082 0.3318 0.4368
S 0.3420 0.1868 0.0501
Ge 0.2500 0.1771 0.8229
Ge 0.7500 0.8229 0.1771

---

No. 20
A plane-wave DFT calculation with PBE-GGA was carried out for an optimized crystal structure of Li2AlSiGe.

## Properties
The total DFT energy (no corrections) is -15.9 eV for the cell shown.

a b c (Å): 4.7713 4.7713 4.7673
angles (deg): 90.00 90.00 90.00
Element x y z (fractional)
Al 0.5000 0.5000 0.5000
Li 0.5000 0.0000 0.0000
Li 0.0000 0.5000 0.0000
Ge 0.0000 0.0000 0.5000
Si 0.0000 0.0000 0.0000